{"formula": "ZnCrPtC2", "functional": "PBE-GGA", "state": "relaxed", "lattice": [[3.9021, 0.0000, 0.0000], [0.0000, 3.9021, 0.0000], [0.0000, 0.0000, 5.4391]], "species": ["Zn", "Cr", "Pt", "C", "C"], "fractional_positions": [[0.0000, 0.0000, 0.0000], [0.5000, 0.5000, 0.0000], [0.5000, 0.5000, 0.5000], [0.0000, 0.5000, 0.5000], [0.5000, 0.0000, 0.5000]], "formation_energy_ev_per_atom": 1.64, "spacegroup": "P4/mmm, No. 123", "magnetic_moment_mub_per_atom": 0.79}